This record from Alexandria describes NaInHgPb after structural relaxation. The functional is GGA-PBE.

CIF file:
```
data_NaInHgPb
_chemical_formula_sum 'Na4 In4 Hg4 Pb4'
_cell_length_a 7.5296
_cell_length_b 7.5296
_cell_length_c 7.5296
_cell_angle_alpha 90.00
_cell_angle_beta 90.00
_cell_angle_gamma 90.00
_symmetry_space_group_name_H-M 'F -4 3 m'
_symmetry_Int_Tables_number 216
_symmetry_space_group_name_Hall 'F -4 2 3'
loop_
_atom_site_label
_atom_site_fract_x
_atom_site_fract_y
_atom_site_fract_z
_atom_site_occupancy
Na1 0.0000 0.0000 0.0000 1
In1 0.0000 0.0000 0.5000 1
Hg1 0.2500 0.2500 0.7500 1
Pb1 0.2500 0.2500 0.2500 1
```

Summary:
For the total magnetic moment, the calculation gives 0.0 μB/f.u. The calculation puts the total energy at -34.042 eV for the cell shown. The calculation puts the density of states at the Fermi level at 6.0 states/eV/cell. Its formation energy from the elements is -0.111 eV per atom.

This record from Alexandria describes NdMg6Au12 after structural relaxation. The functional is GGA-PBE.

CIF file:
```
data_NdMg6Au12
_chemical_formula_sum 'Nd3 Mg18 Au36'
_cell_length_a 12.3087
_cell_length_b 12.3087
_cell_length_c 8.8647
_cell_angle_alpha 90.00
_cell_angle_beta 90.00
_cell_angle_gamma 120.00
_symmetry_space_group_name_H-M 'R -3 m'
_symmetry_Int_Tables_number 166
_symmetry_space_group_name_Hall '-R 3 2"'
loop_
_atom_site_label
_atom_site_fract_x
_atom_site_fract_y
_atom_site_fract_z
_atom_site_occupancy
Nd1 0.0000 0.0000 0.0000 1
Mg1 0.0590 0.5295 0.2414 1
Au1 0.0000 0.3840 0.5000 1
Au2 0.0828 0.1656 0.2805 1
```

Summary:
For the total magnetic moment, the calculation gives 0.0 μB/f.u. The calculation puts the total energy at -184.218 eV for the cell shown. The calculation puts the density of states at the Fermi level at 27.0 states/eV/cell. Its formation energy from the elements is -0.407 eV per atom.

This record from Alexandria describes PtRhPb after structural relaxation. The functional is GGA-PBE.

CIF file:
```
data_PtRhPb
_chemical_formula_sum 'Pt1 Rh1 Pb1'
_cell_length_a 4.4657
_cell_length_b 4.4657
_cell_length_c 3.1780
_cell_angle_alpha 90.00
_cell_angle_beta 90.00
_cell_angle_gamma 120.00
_symmetry_space_group_name_H-M 'P 3 m 1'
_symmetry_Int_Tables_number 156
loop_
_symmetry_equiv_pos_as_xyz
'x,y,z'
'-y,x-y,z'
'-x+y,-x,z'
'-y,-x,z'
'-x+y,y,z'
'x,x-y,z'
loop_
_atom_site_label
_atom_site_fract_x
_atom_site_fract_y
_atom_site_fract_z
_atom_site_occupancy
Pt1 0.0000 0.0000 0.0000 1
Rh1 0.6667 0.3333 0.3698 1
Pb1 0.3333 0.6667 0.6810 1
```

Summary:
The energy above the most stable polymorph in this dataset is 5.6 kJ/mol of atoms. For the total magnetic moment, the calculation gives 0.0 μB/f.u. The calculation puts the total energy at -16.751 eV for the cell shown. The calculation puts the density of states at the Fermi level at 1.3 states/eV/cell. Its formation energy from the elements is 0.116 eV per atom.

This record from Alexandria describes Y3Hf7Ir4 after structural relaxation. The functional is GGA-PBE.

CIF file:
```
data_Y3Hf7Ir4
_chemical_formula_sum 'Y6 Hf14 Ir8'
_cell_length_a 16.7418
_cell_length_b 4.4824
_cell_length_c 10.1052
_cell_angle_alpha 90.00
_cell_angle_beta 125.31
_cell_angle_gamma 90.00
_symmetry_space_group_name_H-M 'C 1 2/m 1'
_symmetry_Int_Tables_number 12
loop_
_symmetry_equiv_pos_as_xyz
'x,y,z'
'-x,-y,-z'
'-x,y,-z'
'x,-y,z'
'x+1/2,y+1/2,z'
'-x+1/2,-y+1/2,-z'
'-x+1/2,y+1/2,-z'
'x+1/2,-y+1/2,z'
loop_
_atom_site_label
_atom_site_fract_x
_atom_site_fract_y
_atom_site_fract_z
_atom_site_occupancy
Y1 0.0000 0.0000 0.0000 1
Y2 0.1878 0.5000 0.6885 1
Hf1 0.0000 0.0000 0.5000 1
Hf2 0.0066 0.5000 0.2927 1
Hf3 0.1626 0.0000 0.4237 1
Hf4 0.1911 0.5000 0.0338 1
Ir1 0.1116 0.0000 0.8437 1
Ir2 0.1658 0.5000 0.2831 1
```

Summary:
For the total magnetic moment, the calculation gives 0.0 μB/f.u. The calculation puts the total energy at -266.249 eV for the cell shown. The calculation puts the density of states at the Fermi level at 25.2 states/eV/cell. Its formation energy from the elements is -0.615 eV per atom.

> Number 3 is which compound?

PtRhPb

> What is the formation energy from the elements in the fourth record?

-0.615 eV per atom